NaTaReB2 after structural relaxation, computed with PBEsol.

Cell lengths 4.0266, 4.0266, 4.6383 Å; angles 90.00, 90.00, 90.00 degrees
Closest atoms and distances in Å follow each position.
Atoms (fractional coordinates):
1 B 0.0000 0.5000 0.0000  2 Re 2.01
2 Re 0.0000 0.0000 0.0000  4 B 2.01
3 B 0.5000 0.0000 0.0000  2 Re 2.01
4 Na 0.0000 0.0000 0.5000  2 Re 2.32
5 Ta 0.5000 0.5000 0.5000  4 Na 2.85, 8 B 3.07

Values from the calculation:
Size of the total moment in Bohr magnetons per cell: 0.03
Formation energy from the elements in eV per formula unit: 9.07
DOS at the Fermi energy in states/eV per cell: 3.71